(1)
Material: ErTi2O
Method: DFT, PBE
State: relaxed

Cell lengths 3.1816, 3.1816, 23.8742 Å; angles 90.00, 90.00, 120.00 degrees
Space group R-3m (No. 166, hexagonal axes)
One atom of each set of equivalent atoms:
Er 0.0000 0.0000 0.0000 x3
Ti 0.0000 0.0000 0.1245 x6
O 0.0000 0.0000 0.5000 x3

Calculated values
Its total energy is -7.27 eV/atom. As for the total moment: 0.000 μB/f.u. As for the uncorrected formation energy: -0.94 eV per atom.

---

(2)
Material: ErTiO3
Method: DFT, PBE
State: relaxed

Cell lengths 7.3122, 3.3416, 5.1672 Å; angles 90.00, 90.00, 90.00 degrees
Space group Pmma (No. 51)
One atom of each set of equivalent atoms:
Er 0.2500 0.0000 0.0523 x2
Ti 0.0000 0.5000 0.5000 x2
O 0.0428 0.0000 0.7412 x4
O 0.2500 0.5000 0.3252 x2

Calculated values
Its total energy is -8.54 eV/atom. As for the total moment: 0.927 μB/f.u. As for the uncorrected formation energy: -3.08 eV per atom.

---

(3)
Material: ErTi2O4
Method: DFT, PBE
State: relaxed

Cell lengths 3.1208, 9.7219, 10.2072 Å; angles 90.00, 90.00, 90.00 degrees
Space group Cmcm (No. 63)
One atom of each set of equivalent atoms:
Er 0.0000 0.1267 0.2500 x4
Ti 0.0000 0.3813 0.0602 x8
O 0.0000 0.0000 0.0000 x4
O 0.0000 0.2696 0.6148 x8
O 0.0000 0.4595 0.2500 x4

Calculated values
Its total energy is -8.68 eV/atom. As for the total moment: 0.002 μB/f.u. As for the uncorrected formation energy: -2.94 eV per atom.

---

(4)
Material: Er2TiO5
Method: DFT, PBE
State: relaxed

Cell lengths 7.4856, 3.5791, 15.4106 Å; angles 90.00, 90.00, 90.00 degrees
Space group Pnma (No. 62)
One atom of each set of equivalent atoms:
Er 0.1351 0.2500 0.0766 x4
Er 0.1375 0.2500 0.7407 x4
Ti 0.1334 0.2500 0.4204 x4
O 0.0937 0.7500 0.6494 x4
O 0.0981 0.7500 0.1723 x4
O 0.1041 0.7500 0.4607 x4
O 0.1428 0.7500 0.9895 x4
O 0.2358 0.7500 0.8201 x4

Calculated values
Its total energy is -8.66 eV/atom. As for the total moment: 0.000 μB/f.u. As for the uncorrected formation energy: -3.43 eV per atom.

---

Which of these has the highest total moment?
ErTiO3

---

What is the total moment in the fourth record?
0.000 μB/f.u.

---

total moment of number 3 (ErTi2O4)?
0.002 μB/f.u.